Dy3Rh4Pb2 | Alexandria via LeMat-Bulk | PBE | relaxed; M_tot = 0.0 μB per formula unit; symmetry = C2/c, No. 15; DFT formation energy = -0.476 eV per atom; VASP energy = -109.8 eV per cell
1.0
-3.3322 -2.0128 -4.1240
5.9507 -1.5674 -5.9772
1.5085 -8.3923 0.9430
Rh Dy Pb
8 6 4
Direct
0.0285 0.8416 0.5609 Rh
0.3607 0.9380 0.2625 Rh
0.9715 0.1584 0.4391 Rh
0.8607 0.2625 0.9380 Rh
0.4715 0.4391 0.1584 Rh
0.5285 0.5609 0.8416 Rh
0.6393 0.0620 0.7375 Rh
0.1393 0.7375 0.0620 Rh
0.7500 0.3764 0.6236 Dy
0.8735 0.9967 0.2125 Dy
0.6265 0.7875 0.0033 Dy
0.3735 0.2125 0.9967 Dy
0.2500 0.6236 0.3764 Dy
0.1265 0.0033 0.7875 Dy
0.9379 0.4389 0.1988 Pb
0.4379 0.1988 0.4389 Pb
0.0621 0.5611 0.8012 Pb
0.5621 0.8012 0.5611 Pb